Here is a relaxed VInBr4 crystal from the Alexandria database. Energies are from GGA-PBE.

Cell: 17.6850 3.9124 13.3921 Å, 90.00 122.48 90.00°
Space group C2/c (No. 15)
Symmetry-distinct sites (fractional):
V (0.2500, 0.2500, 0.0000) x4
In (0.0000, 0.2485, 0.2500) x4
Br (0.0937, 0.2507, 0.9627) x8
Br (0.2058, 0.2501, 0.3481) x8

Total DFT energy (no corrections) ... -93.003 eV for the cell shown
M_tot ... 0.3324 μB/atom



Here is a relaxed CeHoMgCu crystal from the Alexandria database. Energies are from GGA-PBE.

Cell: 7.3034 7.3034 7.3034 Å, 90.00 90.00 90.00°
Space group F-43m (No. 216)
Symmetry-distinct sites (fractional):
Ce (0.0000, 0.0000, 0.0000) x4
Ho (0.0000, 0.0000, 0.5000) x4
Mg (0.2500, 0.2500, 0.2500) x4
Cu (0.2500, 0.2500, 0.7500) x4

E_form ... 0.038 eV/atom
M_tot ... 0.2550 μB/atom